# AcTb3Nd7

A relaxed structure of AcTb3Nd7 (GGA-PBE, Alexandria via LeMat-Bulk).

Space group ... C2/m, No. 12
Total energy ... -4.42 eV per atom
DFT formation energy ... 249 meV/atom

Geometry as CIF:
```
data_AcTb3Nd7
_symmetry_space_group_name_H-M 'P 1'
_symmetry_Int_Tables_number 1
_symmetry_space_group_name_Hall 'P 1'
_cell_length_a 6.1062
_cell_length_b 8.6396
_cell_length_c 8.6396
_cell_angle_alpha 82.47
_cell_angle_beta 110.60
_cell_angle_gamma 110.60
loop_
_atom_site_label
_atom_site_type_symbol
_atom_site_fract_x
_atom_site_fract_y
_atom_site_fract_z
Ac1 Ac 0.5000 0.5000 0.5000
Tb1 Tb 0.0000 0.7911 0.2089
Tb2 Tb 0.5000 0.0000 0.0000
Tb3 Tb 0.0000 0.2089 0.7911
Nd1 Nd 0.1962 0.1981 0.1981
Nd2 Nd 0.2964 0.9963 0.5965
Nd3 Nd 0.7036 0.4035 0.0037
Nd4 Nd 0.2964 0.5965 0.9963
Nd5 Nd 0.0000 0.5000 0.5000
Nd6 Nd 0.7036 0.0037 0.4035
Nd7 Nd 0.8038 0.8019 0.8019
```


# Ac2TbNd7

A relaxed structure of Ac2TbNd7 (GGA-PBE, Alexandria via LeMat-Bulk).

Space group ... Cmmm, No. 65
ΔE to the lowest computed polymorph ... 0.00 eV per formula unit
Total energy ... -4.47 eV per atom
DFT formation energy ... 150 meV/atom

Geometry as CIF:
```
data_Ac2TbNd7
_symmetry_space_group_name_H-M 'P 1'
_symmetry_Int_Tables_number 1
_symmetry_space_group_name_Hall 'P 1'
_cell_length_a 3.6124
_cell_length_b 15.4471
_cell_length_c 15.4472
_cell_angle_alpha 154.33
_cell_angle_beta 90.00
_cell_angle_gamma 90.00
loop_
_atom_site_label
_atom_site_type_symbol
_atom_site_fract_x
_atom_site_fract_y
_atom_site_fract_z
Ac1 Ac 0.5000 0.7054 0.2946
Ac2 Ac 0.5000 0.2946 0.7054
Tb1 Tb 0.0000 0.0000 0.0000
Nd1 Nd 0.0000 0.8165 0.1835
Nd2 Nd 0.0000 0.1835 0.8165
Nd3 Nd 0.5000 0.1470 0.3383
Nd4 Nd 0.5000 0.8530 0.6617
Nd5 Nd 0.5000 0.3383 0.1470
Nd6 Nd 0.5000 0.6617 0.8530
Nd7 Nd 0.5000 0.5000 0.5000
```


# Ac2Tb3Nd8

A relaxed structure of Ac2Tb3Nd8 (GGA-PBE, Alexandria via LeMat-Bulk).

Space group ... C2/m, No. 12
ΔE to the lowest computed polymorph ... 0.00 eV per formula unit
Total energy ... -4.45 eV per atom
DFT formation energy ... 182 meV/atom

Geometry as CIF:
```
data_Ac2Tb3Nd8
_symmetry_space_group_name_H-M 'P 1'
_symmetry_Int_Tables_number 1
_symmetry_space_group_name_Hall 'P 1'
_cell_length_a 6.3326
_cell_length_b 9.0394
_cell_length_c 9.0394
_cell_angle_alpha 83.73
_cell_angle_beta 72.73
_cell_angle_gamma 72.73
loop_
_atom_site_label
_atom_site_type_symbol
_atom_site_fract_x
_atom_site_fract_y
_atom_site_fract_z
Ac1 Ac 0.3460 0.2994 0.2994
Ac2 Ac 0.6540 0.7006 0.7006
Tb1 Tb 0.5000 0.0000 0.0000
Tb2 Tb 0.0000 0.2538 0.7462
Tb3 Tb 0.0000 0.7462 0.2538
Nd1 Nd 0.2369 0.5742 0.5742
Nd2 Nd 0.7631 0.4258 0.4258
Nd3 Nd 0.9469 0.1449 0.1449
Nd4 Nd 0.0531 0.8551 0.8551
Nd5 Nd 0.6687 0.5847 0.0869
Nd6 Nd 0.6687 0.0869 0.5847
Nd7 Nd 0.3313 0.9131 0.4153
Nd8 Nd 0.3313 0.4153 0.9131
```


# Ac14TbNd

A relaxed structure of Ac14TbNd (GGA-PBE, Alexandria via LeMat-Bulk).

Space group ... Amm2, No. 38
Total energy ... -4.16 eV per atom
DFT formation energy ... 25 meV/atom

Geometry as CIF:
```
data_Ac14TbNd
_symmetry_space_group_name_H-M 'P 1'
_symmetry_Int_Tables_number 1
_symmetry_space_group_name_Hall 'P 1'
_cell_length_a 7.8893
_cell_length_b 7.8893
_cell_length_c 11.2286
_cell_angle_alpha 90.00
_cell_angle_beta 90.00
_cell_angle_gamma 90.00
loop_
_atom_site_label
_atom_site_type_symbol
_atom_site_fract_x
_atom_site_fract_y
_atom_site_fract_z
Ac1 Ac 0.3747 0.6253 0.5000
Ac2 Ac 0.8752 0.1248 0.5000
Ac3 Ac 0.8748 0.6248 0.0000
Ac4 Ac 0.8752 0.6251 0.5000
Ac5 Ac 0.3752 0.1252 0.0000
Ac6 Ac 0.3749 0.1248 0.5000
Ac7 Ac 0.6258 0.8758 0.7559
Ac8 Ac 0.6258 0.8758 0.2441
Ac9 Ac 0.1242 0.3742 0.7559
Ac10 Ac 0.1242 0.3742 0.2441
Ac11 Ac 0.1244 0.8756 0.7563
Ac12 Ac 0.1244 0.8756 0.2437
Ac13 Ac 0.6255 0.3745 0.7556
Ac14 Ac 0.6255 0.3745 0.2444
Tb1 Tb 0.8747 0.1253 0.0000
Nd1 Nd 0.3753 0.6247 0.0000
```


# Ac2TbNd5

A relaxed structure of Ac2TbNd5 (GGA-PBE, Alexandria via LeMat-Bulk).

Space group ... I4/mmm, No. 139
ΔE to the lowest computed polymorph ... 0.03 eV per formula unit
Total energy ... -4.56 eV per atom
DFT formation energy ... 31 meV/atom

Geometry as CIF:
```
data_Ac2TbNd5
_symmetry_space_group_name_H-M 'P 1'
_symmetry_Int_Tables_number 1
_symmetry_space_group_name_Hall 'P 1'
_cell_length_a 5.3171
_cell_length_b 5.3171
_cell_length_c 11.1527
_cell_angle_alpha 103.79
_cell_angle_beta 103.79
_cell_angle_gamma 90.00
loop_
_atom_site_label
_atom_site_type_symbol
_atom_site_fract_x
_atom_site_fract_y
_atom_site_fract_z
Ac1 Ac 0.7500 0.7500 0.4999
Ac2 Ac 0.2500 0.2500 0.5001
Tb1 Tb 0.0000 0.0000 0.0000
Nd1 Nd 0.5000 0.5000 0.0000
Nd2 Nd 0.3809 0.8809 0.7618
Nd3 Nd 0.8809 0.3809 0.7618
Nd4 Nd 0.6191 0.1191 0.2382
Nd5 Nd 0.1191 0.6191 0.2382
```


# Ac2TbNd5

A relaxed structure of Ac2TbNd5 (GGA-PBE, Alexandria via LeMat-Bulk).

Space group ... Pbam, No. 55
ΔE to the lowest computed polymorph ... 0.00 eV per formula unit
Total energy ... -4.56 eV per atom
DFT formation energy ... 28 meV/atom

Geometry as CIF:
```
data_Ac2TbNd5
_symmetry_space_group_name_H-M 'P 1'
_symmetry_Int_Tables_number 1
_symmetry_space_group_name_Hall 'P 1'
_cell_length_a 5.2860
_cell_length_b 7.4737
_cell_length_c 14.9642
_cell_angle_alpha 90.00
_cell_angle_beta 90.00
_cell_angle_gamma 90.00
loop_
_atom_site_label
_atom_site_type_symbol
_atom_site_fract_x
_atom_site_fract_y
_atom_site_fract_z
Ac1 Ac 0.5000 0.2480 0.6245
Ac2 Ac 0.5000 0.7520 0.3755
Ac3 Ac 0.5000 0.2520 0.1245
Ac4 Ac 0.5000 0.7480 0.8755
Tb1 Tb 0.0000 0.0000 0.5000
Tb2 Tb 0.0000 0.5000 0.0000
Nd1 Nd 0.0000 0.0000 0.0000
Nd2 Nd 0.0000 0.5000 0.5000
Nd3 Nd 0.0000 0.4977 0.7511
Nd4 Nd 0.0000 0.5023 0.2489
Nd5 Nd 0.0000 0.0023 0.2511
Nd6 Nd 0.0000 0.9977 0.7489
Nd7 Nd 0.5000 0.2489 0.8756
Nd8 Nd 0.5000 0.7511 0.1244
Nd9 Nd 0.5000 0.2511 0.3756
Nd10 Nd 0.5000 0.7489 0.6244
```


# AcTb3Nd4Te8

A relaxed structure of AcTb3Nd4Te8 (GGA-PBE, Alexandria via LeMat-Bulk).

Space group ... R-3m, No. 166
Total energy ... -5.26 eV per atom
E_form (uncorrected) ... -1.37 eV/atom

Geometry as CIF:
```
data_AcTb3Nd4Te8
_symmetry_space_group_name_H-M 'P 1'
_symmetry_Int_Tables_number 1
_symmetry_space_group_name_Hall 'P 1'
_cell_length_a 8.9486
_cell_length_b 8.9963
_cell_length_c 8.9514
_cell_angle_alpha 119.85
_cell_angle_beta 119.99
_cell_angle_gamma 90.00
loop_
_atom_site_label
_atom_site_type_symbol
_atom_site_fract_x
_atom_site_fract_y
_atom_site_fract_z
Ac1 Ac 0.0000 0.5000 0.0000
Tb1 Tb 0.5000 0.5000 0.0000
Tb2 Tb 0.5000 0.5000 0.5000
Tb3 Tb 0.0000 0.5000 0.5000
Nd1 Nd 0.5000 0.0000 0.0000
Nd2 Nd 0.5000 0.0000 0.5000
Nd3 Nd 0.0000 0.0000 0.0000
Nd4 Nd 0.0000 0.0000 0.5000
Te1 Te 0.2547 0.7471 0.9923
Te2 Te 0.2547 0.7471 0.5095
Te3 Te 0.2537 0.2610 0.5074
Te4 Te 0.7376 0.7471 0.9923
Te5 Te 0.2624 0.2529 0.0077
Te6 Te 0.7463 0.7390 0.4926
Te7 Te 0.7453 0.2529 0.4905
Te8 Te 0.7453 0.2529 0.0077
```


# Ac3TbNd3Te8

A relaxed structure of Ac3TbNd3Te8 (GGA-PBE, Alexandria via LeMat-Bulk).

Space group ... R-3m, No. 166
Total energy ... -5.23 eV per atom
E_form (uncorrected) ... -1.48 eV/atom

Geometry as CIF:
```
data_Ac3TbNd3Te8
_symmetry_space_group_name_H-M 'P 1'
_symmetry_Int_Tables_number 1
_symmetry_space_group_name_Hall 'P 1'
_cell_length_a 9.1077
_cell_length_b 9.1076
_cell_length_c 9.2536
_cell_angle_alpha 119.48
_cell_angle_beta 90.00
_cell_angle_gamma 120.00
loop_
_atom_site_label
_atom_site_type_symbol
_atom_site_fract_x
_atom_site_fract_y
_atom_site_fract_z
Ac1 Ac 0.0000 0.0000 0.0000
Ac2 Ac 0.0000 0.5000 0.0000
Ac3 Ac 0.5000 0.5000 0.0000
Tb1 Tb 0.0000 0.0000 0.5000
Nd1 Nd 0.5000 0.0000 0.5000
Nd2 Nd 0.5000 0.5000 0.5000
Nd3 Nd 0.0000 0.5000 0.5000
Te1 Te 0.2548 0.5095 0.2643
Te2 Te 0.7452 0.4905 0.7357
Te3 Te 0.7549 0.5099 0.2641
Te4 Te 0.2451 0.4901 0.7359
Te5 Te 0.7550 0.0092 0.2642
Te6 Te 0.2450 0.9908 0.7358
Te7 Te 0.2542 0.0092 0.2642
Te8 Te 0.7458 0.9908 0.7358
```


# AcTbNd2Te5

A relaxed structure of AcTbNd2Te5 (GGA-PBE, Alexandria via LeMat-Bulk).

Space group ... P4/mmm, No. 123
Total energy ... -4.68 eV per atom
E_form (uncorrected) ... -0.91 eV/atom

Geometry as CIF:
```
data_AcTbNd2Te5
_symmetry_space_group_name_H-M 'P 1'
_symmetry_Int_Tables_number 1
_symmetry_space_group_name_Hall 'P 1'
_cell_length_a 5.5651
_cell_length_b 5.5651
_cell_length_c 12.2491
_cell_angle_alpha 90.00
_cell_angle_beta 90.00
_cell_angle_gamma 90.00
loop_
_atom_site_label
_atom_site_type_symbol
_atom_site_fract_x
_atom_site_fract_y
_atom_site_fract_z
Ac1 Ac 0.0000 0.0000 0.0000
Tb1 Tb 0.0000 0.0000 0.5000
Nd1 Nd 0.5000 0.5000 0.3531
Nd2 Nd 0.5000 0.5000 0.6469
Te1 Te 0.0000 0.5000 0.5000
Te2 Te 0.5000 0.0000 0.5000
Te3 Te 0.0000 0.0000 0.7441
Te4 Te 0.0000 0.0000 0.2559
Te5 Te 0.5000 0.5000 0.0000
```


# AcTb2Nd3Te6

A relaxed structure of AcTb2Nd3Te6 (GGA-PBE, Alexandria via LeMat-Bulk).

Space group ... C2/m, No. 12
Total energy ... -5.27 eV per atom
E_form (uncorrected) ... -1.39 eV/atom

Geometry as CIF:
```
data_AcTb2Nd3Te6
_symmetry_space_group_name_H-M 'P 1'
_symmetry_Int_Tables_number 1
_symmetry_space_group_name_Hall 'P 1'
_cell_length_a 7.7910
_cell_length_b 7.7910
_cell_length_c 7.8046
_cell_angle_alpha 99.57
_cell_angle_beta 99.57
_cell_angle_gamma 120.21
loop_
_atom_site_label
_atom_site_type_symbol
_atom_site_fract_x
_atom_site_fract_y
_atom_site_fract_z
Ac1 Ac 0.0000 0.0000 0.0000
Tb1 Tb 0.3321 0.6679 0.0000
Tb2 Tb 0.6679 0.3321 0.0000
Nd1 Nd 0.1533 0.8467 0.5000
Nd2 Nd 0.8467 0.1533 0.5000
Nd3 Nd 0.5000 0.5000 0.5000
Te1 Te 0.9163 0.5658 0.7477
Te2 Te 0.7284 0.7284 0.2385
Te3 Te 0.0837 0.4342 0.2523
Te4 Te 0.5658 0.9163 0.7477
Te5 Te 0.2716 0.2716 0.7615
Te6 Te 0.4342 0.0837 0.2523
```


# AcTb3Nd2Te6

A relaxed structure of AcTb3Nd2Te6 (GGA-PBE, Alexandria via LeMat-Bulk).

Space group ... C2/m, No. 12
Total energy ... -5.24 eV per atom
E_form (uncorrected) ... -1.37 eV/atom

Geometry as CIF:
```
data_AcTb3Nd2Te6
_symmetry_space_group_name_H-M 'P 1'
_symmetry_Int_Tables_number 1
_symmetry_space_group_name_Hall 'P 1'
_cell_length_a 7.6999
_cell_length_b 7.6999
_cell_length_c 7.8732
_cell_angle_alpha 99.40
_cell_angle_beta 99.40
_cell_angle_gamma 120.43
loop_
_atom_site_label
_atom_site_type_symbol
_atom_site_fract_x
_atom_site_fract_y
_atom_site_fract_z
Ac1 Ac 0.0000 0.0000 0.0000
Tb1 Tb 0.1607 0.8393 0.5000
Tb2 Tb 0.8393 0.1607 0.5000
Tb3 Tb 0.5000 0.5000 0.5000
Nd1 Nd 0.3315 0.6685 0.0000
Nd2 Nd 0.6685 0.3315 0.0000
Te1 Te 0.9102 0.5687 0.7321
Te2 Te 0.7441 0.7441 0.2604
Te3 Te 0.0898 0.4313 0.2679
Te4 Te 0.5687 0.9102 0.7321
Te5 Te 0.2559 0.2559 0.7396
Te6 Te 0.4313 0.0898 0.2679
```


# Ac3Tb2NdTe6

A relaxed structure of Ac3Tb2NdTe6 (GGA-PBE, Alexandria via LeMat-Bulk).

Space group ... C2/m, No. 12
Total energy ... -5.18 eV per atom
E_form (uncorrected) ... -1.41 eV/atom

Geometry as CIF:
```
data_Ac3Tb2NdTe6
_symmetry_space_group_name_H-M 'P 1'
_symmetry_Int_Tables_number 1
_symmetry_space_group_name_Hall 'P 1'
_cell_length_a 4.4998
_cell_length_b 9.3001
_cell_length_c 10.3078
_cell_angle_alpha 105.19
_cell_angle_beta 102.61
_cell_angle_gamma 90.00
loop_
_atom_site_label
_atom_site_type_symbol
_atom_site_fract_x
_atom_site_fract_y
_atom_site_fract_z
Ac1 Ac 0.5000 0.5000 0.0000
Ac2 Ac 0.8363 0.1687 0.6726
Ac3 Ac 0.1637 0.8313 0.3274
Tb1 Tb 0.8341 0.6688 0.6682
Tb2 Tb 0.1659 0.3312 0.3318
Nd1 Nd 0.5000 0.0000 0.0000
Te1 Te 0.3349 0.9012 0.6699
Te2 Te 0.6727 0.5686 0.3454
Te3 Te 0.6651 0.0988 0.3301
Te4 Te 0.0070 0.2436 0.0141
Te5 Te 0.9930 0.7564 0.9859
Te6 Te 0.3273 0.4314 0.6546
```